Material: NdEuRh
Method: DFT, PBE
State: optimized geometry

Output
DFT formation energy: -403 meV per atom
density of states at the Fermi level: 11.1 states/eV/f.u.
space group: F-43m, No. 216
ρ: 7.69 g cm⁻³

abc: 4.9583 4.9583 4.9583
angles: 60.00 60.00 60.00
Closest atoms and distances in Å follow each position.
Sites, in units of the cell vectors:
Eu  0.0000  0.0000  0.0000  4 Rh 3.04
Nd  0.5000  0.5000  0.5000  4 Rh 3.04
Rh  0.2500  0.2500  0.2500  4 Nd 3.04, 4 Eu 3.04


Material: Nd2EuRh
Method: DFT, PBE
State: optimized geometry

Output
DFT formation energy: -289 meV per atom
density of states at the Fermi level: 4.2 states/eV/f.u.
space group: P4/mmm, No. 123
ρ: 7.30 g cm⁻³

abc: 3.6158 3.6158 9.4548
angles: 90.00 90.00 90.00
Closest atoms and distances in Å follow each position.
Sites, in units of the cell vectors:
Eu  0.5000  0.5000  0.5000  4 Eu 3.62, 8 Nd 3.99
Rh  0.5000  0.5000  0.0000  8 Nd 3.05
Nd  0.0000  0.0000  0.8243  4 Rh 3.05, 1 Nd 3.32
Nd  0.0000  0.0000  0.1757  4 Rh 3.05, 1 Nd 3.32


Material: Nd3EuRh
Method: DFT, PBE
State: optimized geometry

Output
DFT formation energy: -208 meV per atom
density of states at the Fermi level: 6.4 states/eV/f.u.
space group: Pm-3m, No. 221
ρ: 6.33 g cm⁻³

abc: 5.6513 5.6513 5.6513
angles: 90.00 90.00 90.00
Closest atoms and distances in Å follow each position.
Sites, in units of the cell vectors:
Nd  0.5000  0.0000  0.0000  2 Rh 2.83
Nd  0.0000  0.5000  0.0000  2 Rh 2.83
Nd  0.0000  0.0000  0.5000  2 Rh 2.83
Rh  0.0000  0.0000  0.0000  6 Nd 2.83
Eu  0.5000  0.5000  0.5000  12 Nd 4.00


Material: NdEuTlRh
Method: DFT, PBE
State: optimized geometry

Output
DFT formation energy: -346 meV per atom
density of states at the Fermi level: 8.3 states/eV/f.u.
space group: F-43m, No. 216
ρ: 9.66 g cm⁻³

abc: 5.2745 5.2745 5.2745
angles: 60.00 60.00 60.00
Closest atoms and distances in Å follow each position.
Sites, in units of the cell vectors:
Nd  0.0000  0.0000  0.0000  4 Tl 3.23, 4 Rh 3.23
Eu  0.5000  0.5000  0.5000  4 Rh 3.23, 4 Tl 3.23
Rh  0.2500  0.2500  0.2500  4 Nd 3.23, 4 Eu 3.23
Tl  0.7500  0.7500  0.7500  4 Nd 3.23, 4 Eu 3.23


Material: NdSmEuRu
Method: DFT, PBE
State: optimized geometry

Output
DFT formation energy: 158 meV per atom
density of states at the Fermi level: 4.7 states/eV/f.u.
space group: F-43m, No. 216
ρ: 8.80 g cm⁻³

abc: 5.2671 5.2671 5.2671
angles: 60.00 60.00 60.00
Closest atoms and distances in Å follow each position.
Sites, in units of the cell vectors:
Ru  0.2500  0.2500  0.2500  4 Nd 3.23, 4 Sm 3.23
Nd  0.0000  0.0000  0.0000  4 Eu 3.23, 4 Ru 3.23
Sm  0.5000  0.5000  0.5000  4 Ru 3.23, 4 Eu 3.23
Eu  0.7500  0.7500  0.7500  4 Sm 3.23, 4 Nd 3.23


Material: Nd2EuS4
Method: DFT, PBE
State: optimized geometry

Output
ΔE_f (raw): -2095 meV per atom
density of states at the Fermi level: 3.8 states/eV/f.u.
space group: I-42d, No. 122
ρ: 5.88 g cm⁻³

abc: 7.4740 7.4740 7.4740
angles: 109.41 109.41 109.59
Closest atoms and distances in Å follow each position.
Sites, in units of the cell vectors:
S  0.8801  0.6301  0.4004  4 Nd 2.87-3.07, 2 Eu 2.92-3.10
S  0.3699  0.2703  0.2499  4 Nd 2.87-3.07, 2 Eu 2.92-3.10
S  0.2297  0.4797  0.5996  4 Nd 2.87-3.07, 2 Eu 2.92-3.10
S  0.0203  0.1199  0.7501  4 Nd 2.87-3.07, 2 Eu 2.92-3.10
S  0.5203  0.1199  0.7499  4 Nd 2.87-3.07, 2 Eu 2.92-3.10
S  0.8801  0.6301  0.9004  4 Nd 2.87-3.07, 2 Eu 2.92-3.10
S  0.3699  0.7703  0.2501  4 Nd 2.87-3.07, 2 Eu 2.92-3.10
S  0.7297  0.9797  0.0996  4 Nd 2.87-3.07, 2 Eu 2.92-3.10
Nd  0.1250  0.0023  0.3773  8 S 2.87-3.07
Nd  0.2523  0.8750  0.8773  8 S 2.87-3.07
Nd  0.6250  0.7477  0.6227  8 S 2.87-3.07
Nd  0.9977  0.3750  0.1227  8 S 2.87-3.07
Eu  0.5000  0.5000  0.0000  8 S 2.92-3.10
Eu  0.7500  0.2500  0.5000  8 S 2.92-3.10


Material: Nd3EuS
Method: DFT, PBE
State: optimized geometry

Output
ΔE_f (raw): -665 meV per atom
density of states at the Fermi level: 16.2 states/eV/f.u.
space group: Pm-3m, No. 221
ρ: 5.93 g cm⁻³

abc: 5.5687 5.5687 5.5687
angles: 90.00 90.00 90.00
Closest atoms and distances in Å follow each position.
Sites, in units of the cell vectors:
S  0.0000  0.0000  0.0000  6 Nd 2.78
Nd  0.0000  0.5000  0.0000  2 S 2.78
Nd  0.5000  0.0000  0.0000  2 S 2.78
Nd  0.0000  0.0000  0.5000  2 S 2.78
Eu  0.5000  0.5000  0.5000  12 Nd 3.94


Material: NdEu2Sb
Method: DFT, PBE
State: optimized geometry

Output
ΔE_f (raw): -518 meV per atom
density of states at the Fermi level: 4.4 states/eV/f.u.
space group: P4/mmm, No. 123
ρ: 7.53 g cm⁻³

abc: 5.1676 4.9329 4.9329
angles: 90.00 90.00 90.00
Closest atoms and distances in Å follow each position.
Sites, in units of the cell vectors:
Nd  0.5000  0.5000  0.5000  4 Sb 3.49, 8 Eu 3.57
Eu  0.0000  0.0000  0.5000  4 Eu 3.49, 4 Sb 3.57, 4 Nd 3.57
Eu  0.0000  0.5000  0.0000  4 Eu 3.49, 4 Sb 3.57, 4 Nd 3.57
Sb  0.5000  0.0000  0.0000  4 Nd 3.49, 8 Eu 3.57


Material: Nd2EuSb
Method: DFT, PBE
State: optimized geometry

Output
ΔE_f (raw): -518 meV per atom
density of states at the Fermi level: 3.5 states/eV/f.u.
space group: P4/mmm, No. 123
ρ: 7.64 g cm⁻³

abc: 4.8826 5.0011 5.0011
angles: 90.00 90.00 90.00
Closest atoms and distances in Å follow each position.
Sites, in units of the cell vectors:
Nd  0.0000  0.5000  0.0000  4 Eu 3.49, 4 Sb 3.49, 4 Nd 3.54
Nd  0.0000  0.0000  0.5000  4 Eu 3.49, 4 Sb 3.49, 4 Nd 3.54
Eu  0.5000  0.5000  0.5000  8 Nd 3.49, 4 Sb 3.54
Sb  0.5000  0.0000  0.0000  8 Nd 3.49, 4 Eu 3.54


Material: NdEuSb
Method: DFT, PBE
State: optimized geometry

Output
ΔE_f (raw): -521 meV per atom
density of states at the Fermi level: 2.5 states/eV/f.u.
space group: P3m1, No. 156
ρ: 6.94 g cm⁻³

abc: 4.3639 5.1449 5.1449
angles: 120.00 90.00 90.00
Closest atoms and distances in Å follow each position.
Sites, in units of the cell vectors:
Eu  0.6258  0.6667  0.3333  3 Sb 3.29, 3 Nd 3.56
Nd  0.0744  0.0000  0.0000  3 Sb 3.13
Sb  0.2999  0.3333  0.6667  3 Nd 3.13, 3 Eu 3.29


Material: Nd2EuSb
Method: DFT, PBE
State: optimized geometry

Output
ΔE_f (raw): -476 meV per atom
density of states at the Fermi level: 4.9 states/eV/f.u.
space group: P4/mmm, No. 123
ρ: 7.25 g cm⁻³

abc: 4.2188 4.2188 7.2358
angles: 90.00 90.00 90.00
Closest atoms and distances in Å follow each position.
Sites, in units of the cell vectors:
Eu  0.5000  0.5000  0.0000  8 Nd 3.60, 2 Sb 3.62
Sb  0.5000  0.5000  0.5000  8 Nd 3.39, 2 Eu 3.62
Nd  0.0000  0.0000  0.7219  1 Nd 3.21, 4 Sb 3.39
Nd  0.0000  0.0000  0.2781  1 Nd 3.21, 4 Sb 3.39


Material: Nd2EuSb
Method: DFT, PBE
State: optimized geometry

Output
ΔE_f (raw): -350 meV per atom
density of states at the Fermi level: 6.1 states/eV/f.u.
space group: Fm-3m, No. 225
ρ: 7.68 g cm⁻³

abc: 5.5598 5.5598 5.5595
angles: 60.00 60.00 60.00
Closest atoms and distances in Å follow each position.
Sites, in units of the cell vectors:
Nd  0.2499  0.2499  0.2502  4 Eu 3.40, 4 Sb 3.40-3.41
Nd  0.7501  0.7501  0.7498  4 Eu 3.40, 4 Sb 3.40-3.41
Sb  0.5000  0.5000  0.5000  8 Nd 3.40-3.41
Eu  0.0000  0.0000  0.0000  8 Nd 3.40


Material: NdEuSb
Method: DFT, PBE
State: optimized geometry

Output
ΔE_f (raw): -679 meV per atom
density of states at the Fermi level: 3.3 states/eV/f.u.
space group: I4mm, No. 107
ρ: 7.42 g cm⁻³

abc: 4.2016 4.2016 6.0749
angles: 110.23 110.23 90.00
Closest atoms and distances in Å follow each position.
Sites, in units of the cell vectors:
Sb  0.6229  0.6229  0.2459  4 Nd 3.33, 5 Eu 3.42-3.60
Eu  0.9624  0.9624  0.9249  1 Nd 3.20, 4 Sb 3.42
Nd  0.2646  0.2646  0.5292  1 Eu 3.20, 4 Sb 3.33


Material: NdEuSc
Method: DFT, PBE
State: optimized geometry

Output
DFT formation energy: 97 meV per atom
density of states at the Fermi level: 3.9 states/eV/f.u.
space group: I4mm, No. 107
ρ: 5.75 g cm⁻³

abc: 3.6448 3.6448 7.8477
angles: 103.43 103.43 90.00
Closest atoms and distances in Å follow each position.
Sites, in units of the cell vectors:
Sc  0.3268  0.3268  0.6536  4 Nd 3.37, 4 Eu 3.57, 4 Sc 3.64
Nd  0.6800  0.6800  0.3599  4 Sc 3.37, 4 Nd 3.64
Eu  0.9932  0.9932  0.9864  4 Sc 3.57, 4 Eu 3.64, 4 Nd 3.78


Material: NdEuSc
Method: DFT, PBE
State: optimized geometry

Output
DFT formation energy: 108 meV per atom
density of states at the Fermi level: 4.0 states/eV/f.u.
space group: P3m1, No. 156
ρ: 5.79 g cm⁻³

abc: 3.5887 3.5887 8.7659
angles: 90.00 90.00 120.00
Closest atoms and distances in Å follow each position.
Sites, in units of the cell vectors:
Eu  0.0000  0.0000  0.0124  3 Sc 3.55, 6 Eu 3.59, 3 Nd 3.82
Sc  0.6667  0.3333  0.3417  3 Nd 3.38, 3 Eu 3.55, 6 Sc 3.59
Nd  0.3333  0.6667  0.6458  3 Sc 3.38, 6 Nd 3.59